Computed, not measured: a relaxed RbZrH3 crystal at the PBE level of DFT.

Cell lengths 4.4945, 4.4945, 4.4945 Å; angles 90.00, 90.00, 90.00 degrees
Space group Pm-3m (No. 221)
Symmetry-distinct sites (fractional):
Rb 0.0000 0.0000 0.0000 x1
Zr 0.5000 0.5000 0.5000 x1
H 0.0000 0.0000 0.5000 x3

Results
The calculation puts the density of states at the Fermi level at 1.254 states/eV/atom. The total magnetization is 1.931 μB per cell. Its energy above the lowest structure with this stoichiometry is 1265.5 meV/atom.